This record from Alexandria via LeMat-Bulk describes a relaxed structure of Ac4Ni2Rh. The functional is PBE.

Properties
Formation energy from the elements   -0.3278 eV per atom
Mass density   8.338 g cm⁻³

```
7
Lattice="7.0442 0.0000 0.0000 0.0000 4.2929 0.0000 -2.0763 0.0000 7.4306" Properties=species:S:1:pos:R:3 pbc="T T T"
Ac 0.0126 0.0000 1.9321
Ac 1.3237 2.1464 5.5502
Ac 3.6442 2.1464 1.8804
Ac 4.9554 0.0000 5.4985
Ni 2.3360 0.0000 0.0123
Ni 2.6319 0.0000 7.4182
Rh -1.0381 2.1464 3.7153
```